First-principles (PBE) data for crystalline Cr2GaFeN at its relaxed geometry, as listed in the Alexandria database. Values from VASP.

Computed properties:
Fermi-level density of states, states/eV per atom: 0.679
ρ, kg/m3: 7304
E_form (uncorrected), eV/atom: -0.2558
SG: No. 123

Structure (Quantum ESPRESSO input):
```
&SYSTEM
  ibrav = 0, nat = 5, ntyp = 4
/
ATOMIC_SPECIES
Cr 52.00 Cr.upf
N 14.01 N.upf
Ga 69.72 Ga.upf
Fe 55.84 Fe.upf
CELL_PARAMETERS angstrom
3.818 0.000 0.000
0.000 3.818 0.000
0.000 0.000 3.799
ATOMIC_POSITIONS angstrom
Cr 1.909 0.000 0.000
Cr 0.000 1.909 0.000
N 0.000 0.000 0.000
Ga 1.909 1.909 1.900
Fe 0.000 0.000 1.900
```